This record from Alexandria via LeMat-Bulk describes a relaxed Ba2LiAgPt crystal. The functional is GGA-PBE.

Cell: 6.1067 6.1067 4.8424 Å, 90.00 90.00 90.00°
With the nearest neighbours (Å) after each atom.
Fractional coordinates of all 5 atoms:
Ba 0.0000 0.5000 0.0000  2 Pt 3.05
Ba 0.5000 0.0000 0.0000  2 Pt 3.05
Ag 0.5000 0.5000 0.5000  8 Ba 3.90, 4 Li 4.32
Pt 0.0000 0.0000 0.0000  2 Li 2.42
Li 0.0000 0.0000 0.5000  2 Pt 2.42

Computed properties:
- Raw total energy: -16.29 eV/f.u.
- ρ: 5.4 g/cm³
- DOS at the Fermi energy: 2.8 states/eV per cell
- Symmetry: No. 123

---

This record from Alexandria via LeMat-Bulk describes a relaxed YFe2GeC crystal. The functional is GGA-PBE.

Cell: 3.8082 5.6008 6.8862 Å, 90.00 90.00 109.87°
With the nearest neighbours (Å) after each atom.
Fractional coordinates of all 10 atoms:
Ge 0.2692 0.5384 0.2500  6 Fe 2.41-2.42
Ge 0.7308 0.4616 0.7500  6 Fe 2.41-2.42
Fe 0.1630 0.3260 0.9382  1 C 1.77
Fe 0.8370 0.6740 0.4382  1 C 1.77
Fe 0.8370 0.6740 0.0618  1 C 1.77
Fe 0.1630 0.3260 0.5618  1 C 1.77
Y 0.5490 0.0980 0.2500  4 C 2.62
Y 0.4510 0.9020 0.7500  4 C 2.62
C 0.0000 0.0000 0.0000  2 Fe 1.77
C 0.0000 0.0000 0.5000  2 Fe 1.77

Computed properties:
- Raw total energy: -39.26 eV/f.u.
- ρ: 6.9 g/cm³
- DOS at the Fermi energy: 9.4 states/eV per cell
- Symmetry: No. 63

---

This record from Alexandria via LeMat-Bulk describes a relaxed Ta2TiSi crystal. The functional is GGA-PBE.

Cell: 3.4612 5.1574 8.0813 Å, 90.00 90.00 109.56°
With the nearest neighbours (Å) after each atom.
Fractional coordinates of all 8 atoms:
Ta 0.6392 0.2772 0.0455  3 Si 2.59-2.66, 3 Ta 2.79-2.87
Ta 0.3608 0.7228 0.9545  3 Si 2.59-2.66, 3 Ta 2.79-2.87
Ta 0.6392 0.2772 0.4545  3 Si 2.59-2.66, 3 Ta 2.79-2.87
Ta 0.3608 0.7228 0.5455  3 Si 2.59-2.66, 3 Ta 2.79-2.87
Ti 0.9493 0.8988 0.2500  3 Si 2.67-2.82
Ti 0.0507 0.1012 0.7500  3 Si 2.67-2.82
Si 0.2402 0.4796 0.2500  6 Ta 2.59-2.66, 3 Ti 2.67-2.82
Si 0.7598 0.5204 0.7500  6 Ta 2.59-2.66, 3 Ti 2.67-2.82

Computed properties:
- ρ: 10.7 g/cm³
- DOS at the Fermi energy: 6.1 states/eV per cell
- Formation energy from raw total energies: -0.3859 eV per atom
- Symmetry: No. 63